No. 1
Entry from the Alexandria database: a crystal of TiPHO5 relaxed with PBEsol (meta-GGA SCAN).

a = 7.0018 Å, b = 7.3920 Å, c = 7.4505 Å
α = 117.40°, β = 90.00°, γ = 90.00°
Last column: nearest neighbours and their distance in Å.
Atoms (fractional coordinates):
O 0.2579 0.4052 0.3542  1 P 1.54
P 0.1451 0.0005 0.7521  4 O 1.54-1.55
O 0.3490 0.4994 0.7530  2 Ti 1.79-1.80
O 0.2823 0.0909 0.6514  1 P 1.55
O 0.5070 0.3345 0.0888  1 P 1.54
P 0.8828 0.4978 0.7479  4 O 1.54-1.55
O 0.7579 0.5948 0.6458  1 P 1.54
O 0.1356 0.0029 0.2490  2 H 0.99-1.01
Ti 0.7723 0.2796 0.0231  5 O 1.80-1.96
P 0.6451 0.9995 0.2479  4 O 1.54-1.55
O 0.8490 0.5006 0.2470  2 Ti 1.79-1.80
P 0.3828 0.5022 0.2521  4 O 1.54-1.55
O 0.0184 0.1664 0.9128  1 P 1.54
O 0.0070 0.6655 0.9112  1 P 1.54
Ti 0.7770 0.7212 0.4718  5 O 1.79-1.99
O 0.6356 0.9971 0.7510  2 H 0.99-1.01
O 0.5105 0.6706 0.4105  1 P 1.55
O 0.7526 0.4007 0.8457  1 P 1.54
O 0.7823 0.9091 0.3486  1 P 1.55
H 0.0652 0.0732 0.1832  1 O 0.99
H 0.5652 0.9268 0.8168  1 O 0.99
Ti 0.2770 0.2788 0.5282  5 O 1.79-1.99
O 0.0105 0.3294 0.5895  1 P 1.55
O 0.5184 0.8336 0.0872  1 P 1.54
O 0.5184 0.1620 0.4116  1 P 1.54
Ti 0.2723 0.7204 0.9769  5 O 1.80-1.96
O 0.7724 0.0929 0.1436  1 P 1.54
H 0.5259 0.0484 0.6992  1 O 1.01
O 0.2724 0.9071 0.8564  1 P 1.54
O 0.0184 0.8380 0.5884  1 P 1.54
O 0.2526 0.5993 0.1543  1 P 1.54
H 0.0259 0.9516 0.3008  1 O 1.01

Properties
* relative energy among the computed polymorphs: 0 kJ/mol of formula units
* V: 10.70 Å³/atom
* uncorrected energy: -10.1943 eV/atom
* size of the total moment: 0.000 μB/atom
* space group: P2_1

***

No. 2
Entry from the Alexandria database: a crystal of TiPHO5 relaxed with PBEsol (meta-GGA SCAN).

a = 5.2346 Å, b = 5.2103 Å, c = 7.3951 Å
α = 109.12°, β = 105.67°, γ = 99.44°
Last column: nearest neighbours and their distance in Å.
Atoms (fractional coordinates):
H 0.9790 0.3347 0.3176  1 O 1.00
O 0.8580 0.6786 0.7282  1 H 1.00
P 0.4359 0.1010 0.7688  4 O 1.53-1.57
Ti 0.0000 0.0000 0.0000  6 O 1.92-1.99
O 0.3332 0.7735 0.6445  1 P 1.57
O 0.3811 0.2531 0.6225  1 P 1.53
O 0.6668 0.2265 0.3555  1 P 1.57
O 0.7300 0.8274 0.0879  1 P 1.54
O 0.7448 0.1859 0.8919  1 P 1.53
H 0.0210 0.6653 0.6824  1 O 1.00
P 0.5641 0.8990 0.2312  4 O 1.53-1.57
O 0.6189 0.7469 0.3775  1 P 1.53
Ti 0.5000 0.5000 0.5000  6 O 1.92-1.98
O 0.2700 0.1726 0.9121  1 P 1.54
O 0.1420 0.3214 0.2718  1 H 1.00
O 0.2552 0.8141 0.1081  1 P 1.53

Properties
* relative energy among the computed polymorphs: 15 kJ/mol of formula units
* V: 11.02 Å³/atom
* uncorrected energy: -10.1746 eV/atom
* size of the total moment: 0.000 μB/atom
* space group: P-1

***

No. 3
Entry from the Alexandria database: a crystal of Ti2P2H4O11 relaxed with PBEsol (meta-GGA SCAN).

a = 5.1625 Å, b = 8.6283 Å, c = 9.8323 Å
α = 73.47°, β = 85.26°, γ = 84.38°
Last column: nearest neighbours and their distance in Å.
Atoms (fractional coordinates):
O 0.7230 0.2139 0.0289  1 P 1.55
H 0.6251 0.7130 0.9465  1 O 0.99
P 0.7550 0.1884 0.8780  4 O 1.53-1.55
O 0.4368 0.7618 0.4709  1 P 1.54
H 0.7817 0.8391 0.6006  1 O 1.01
O 0.9531 0.7380 0.4973  1 P 1.54, 1 H 1.67
O 0.9791 0.2860 0.7934  1 P 1.54
H 0.1422 0.3426 0.9522  1 O 0.99
O 0.2521 0.0294 0.7191  1 H 1.79, 2 Ti 1.81-1.90
O 0.7375 0.5089 0.4065  1 P 1.52
Ti 0.2713 0.2576 0.6596  6 O 1.90-1.99
O 0.7479 0.9706 0.2809  1 H 1.79, 2 Ti 1.81-1.90
O 0.8152 0.6807 0.9474  2 H 0.99
Ti 0.9474 0.1345 0.1895  4 O 1.81-1.96
O 0.5632 0.2382 0.5291  1 P 1.54
P 0.7857 0.3265 0.4334  4 O 1.52-1.55
O 0.2437 0.1053 0.3218  2 H 1.00-1.01
Ti 0.7287 0.7424 0.3404  6 O 1.90-1.99
H 0.5765 0.9475 0.6861  1 O 1.00
H 0.3749 0.2870 0.0535  1 O 0.99
P 0.2143 0.6735 0.5666  4 O 1.52-1.55
O 0.2625 0.4911 0.5935  1 P 1.52
O 0.2770 0.7861 0.9711  1 P 1.55
O 0.8000 0.2820 0.2908  1 P 1.55
P 0.2450 0.8116 0.1220  4 O 1.53-1.55
H 0.4235 0.0525 0.3139  1 O 1.00
O 0.8143 0.0065 0.8912  1 P 1.54
O 0.4979 0.2524 0.8075  1 P 1.53
H 0.8578 0.6574 0.0478  1 O 0.99
H 0.2183 0.1609 0.3994  1 O 1.01
O 0.5021 0.7476 0.1925  1 P 1.53
O 0.2000 0.7180 0.7092  1 P 1.55
Ti 0.0526 0.8655 0.8105  4 O 1.81-1.96
O 0.1848 0.3193 0.0526  2 H 0.99
O 0.7563 0.8947 0.6782  2 H 1.00-1.01
O 0.0469 0.2620 0.5027  1 P 1.54, 1 H 1.67
O 0.1857 0.9935 0.1088  1 P 1.54
O 0.0209 0.7140 0.2066  1 P 1.54

Properties
* V: 10.98 Å³/atom
* uncorrected energy: -9.4427 eV/atom
* size of the total moment: 0.000 μB/atom
* space group: P-1